Entry 1:
This record from the Alexandria database describes SrTaTi2Ir at its PBEsol-relaxed geometry. The functional is SCAN.

As for the calculated formation energy: 0.945 eV per atom. For the energy, the calculation gives -37.458 eV per atom.

Cell and atoms, written as CIF:
```
data_SrTaTi2Ir
_chemical_formula_sum 'Sr1 Ta1 Ti2 Ir1'
_cell_length_a 4.721
_cell_length_b 4.721
_cell_length_c 5.389
_cell_angle_alpha 90.00
_cell_angle_beta 90.00
_cell_angle_gamma 90.00
_symmetry_space_group_name_H-M 'P 1'
_symmetry_Int_Tables_number 1
loop_
_symmetry_equiv_pos_as_xyz
'x,y,z'
loop_
_atom_site_label
_atom_site_fract_x
_atom_site_fract_y
_atom_site_fract_z
Sr1 0.000 0.000 0.000
Ta1 0.500 0.500 0.000
Ti1 0.000 0.500 0.500
Ti2 0.500 0.000 0.500
Ir1 0.000 0.000 0.500
```


Entry 2:
This record from the Alexandria database describes ScAg2TeOs at its PBEsol-relaxed geometry. The functional is SCAN.

For the energy, the calculation gives -35.934 eV per atom. As for the uncorrected formation energy: 1.286 eV per atom.

Cell and atoms, written as CIF:
```
data_ScAg2TeOs
_chemical_formula_sum 'Sc1 Ag2 Te1 Os1'
_cell_length_a 4.920
_cell_length_b 4.920
_cell_length_c 5.276
_cell_angle_alpha 90.00
_cell_angle_beta 90.00
_cell_angle_gamma 90.00
_symmetry_space_group_name_H-M 'P 1'
_symmetry_Int_Tables_number 1
loop_
_symmetry_equiv_pos_as_xyz
'x,y,z'
loop_
_atom_site_label
_atom_site_fract_x
_atom_site_fract_y
_atom_site_fract_z
Sc1 0.000 0.000 0.000
Ag1 0.000 0.500 0.500
Ag2 0.500 0.000 0.500
Te1 0.000 0.000 0.500
Os1 0.500 0.500 0.000
```